# 1
Here is an optimized crystal structure of CoAg2Ru from Alexandria via LeMat-Bulk. Energies are from PBE.

The structure in POSCAR format:
```
CoAg2Ru
1.0
5.2852 0.0091 0.0011
2.3836 4.7172 -0.0011
-3.2244 -3.3529 2.5090
Ag Co Ru
2 1 1
direct
0.0060 0.0060 0.0000
0.7319 0.2319 0.5000
0.4823 0.4823 0.0000
0.2798 0.7798 0.5000
```

Values from the calculation:
**Symmetry**: No. 44
**DFT total energy**: -4.984 eV/atom
**Energy relative to the lowest polymorph listed for this composition**: 0.216 eV per atom
**Size of the total moment**: 3.1 μB/f.u.


# 2
Here is an optimized crystal structure of Cd3IrPb from Alexandria via LeMat-Bulk. Energies are from PBE.

The structure in POSCAR format:
```
Cd3IrPb
1.0
-4.5178 0.2663 -2.5492
-0.8345 -5.0375 0.9527
-2.4234 1.2382 4.4242
Pb Ir Cd
1 1 3
direct
0.5000 0.5000 0.5000
0.0000 0.0000 0.0000
0.0000 0.5000 0.0000
0.0000 0.0000 0.5000
0.5000 0.0000 0.0000
```

Values from the calculation:
**Symmetry**: No. 221
**DFT total energy**: -2.747 eV/atom
**Energy relative to the lowest polymorph listed for this composition**: 0.000 eV per atom
**Size of the total moment**: 0.0 μB/f.u.


# 3
Here is an optimized crystal structure of SrAc8Nd6 from Alexandria via LeMat-Bulk. Energies are from PBE.

The structure in POSCAR format:
```
SrAc8Nd6
1.0
8.5687 -0.0319 3.6552
2.4026 8.2250 3.6552
-0.0427 -0.0319 9.3157
Sr Ac Nd
1 8 6
direct
0.0000 0.0000 0.0000
0.1842 0.5794 0.8633
0.1367 0.8158 0.4206
0.4206 0.1367 0.8158
0.7377 0.7377 0.7377
0.2623 0.2623 0.2623
0.5794 0.8633 0.1842
0.8633 0.1842 0.5794
0.8158 0.4206 0.1367
0.0724 0.3777 0.6663
0.3337 0.9276 0.6223
0.6223 0.3337 0.9276
0.3777 0.6663 0.0724
0.6663 0.0724 0.3777
0.9276 0.6223 0.3337
```

Values from the calculation:
**Symmetry**: No. 148
**DFT total energy**: -3.970 eV/atom
**Size of the total moment**: 0.0 μB/f.u.


# 4
Here is an optimized crystal structure of Rb3Dy3PaSe8 from Alexandria via LeMat-Bulk. Energies are from PBE.

The structure in POSCAR format:
```
Rb3Dy3PaSe8
1.0
-2.5802 7.2540 3.4182
2.8473 -6.2041 4.9352
6.5056 4.6929 -5.0484
Rb Dy Pa Se
3 3 1 8
direct
0.0000 0.0000 0.0000
0.0000 0.5000 0.0000
0.5000 0.5000 0.0000
0.5000 0.0000 0.5000
0.5000 0.5000 0.5000
0.0000 0.5000 0.5000
0.0000 0.0000 0.5000
0.2687 0.5374 0.3062
0.7313 0.4626 0.6938
0.7698 0.5395 0.3078
0.2302 0.4605 0.6922
0.7698 0.0379 0.3078
0.2302 0.9621 0.6922
0.2681 0.0379 0.3078
0.7319 0.9621 0.6922
```

Values from the calculation:
**Symmetry**: No. 166
**DFT total energy**: -5.282 eV/atom
**Size of the total moment**: 1.0 μB/f.u.